Density functional theory data (GGA-PBE) for a relaxed structure of SmRe2N6.

```
SmRe2N6
1.0
3.737 0.000 0.000
1.869 5.689 0.686
1.869 3.388 8.031
Sm Re N
1 2 6
Direct
0.000 0.500 0.500 Sm
0.257 0.671 0.816 Re
0.743 0.329 0.184 Re
0.751 0.591 0.906 N
0.249 0.409 0.094 N
0.864 0.979 0.292 N
0.389 0.572 0.649 N
0.136 0.021 0.708 N
0.611 0.428 0.351 N
```

Calculated values
**Raw formation energy**: -0.0665 eV per atom
**Total moment**: 1.01 μB per formula unit
**Symmetry**: No. 12
**Calculated density**: 6.22 Mg/m³
**V**: 162.03 Å³/cell